Er2In3Ge2: relaxed, PBE.

a b c (Å): 5.7720 5.7720 7.1141
angles (deg): 98.05 98.05 43.74
Positions (direct):
Er1 0.1173 0.1173 0.3260
Er2 0.8827 0.8827 0.6740
In1 0.1975 0.1975 0.8564
In2 0.5000 0.5000 0.0000
In3 0.8025 0.8025 0.1436
Ge1 0.3991 0.3991 0.3851
Ge2 0.6009 0.6009 0.6149

Results
SG: No. 12
E: -4.216 eV per atom


Er4InGe4Ir2: relaxed, PBE.

a b c (Å): 8.1192 8.1192 6.9702
angles (deg): 106.24 106.24 30.44
Positions (direct):
Er1 0.0877 0.0877 0.3880
Er2 0.1552 0.1552 0.9299
Er3 0.8448 0.8448 0.0701
Er4 0.9123 0.9123 0.6120
In1 0.5000 0.5000 0.0000
Ge1 0.3023 0.3023 0.7501
Ge2 0.4364 0.4364 0.3386
Ge3 0.5636 0.5636 0.6614
Ge4 0.6977 0.6977 0.2499
Ir1 0.2808 0.2808 0.3703
Ir2 0.7192 0.7192 0.6297

Results
SG: No. 12
E: -6.024 eV per atom


Er2Tm2InNi2Ge4: relaxed, PBE.

a b c (Å): 7.9783 7.9783 6.9971
angles (deg): 107.96 107.96 30.58
Positions (direct):
Er1 0.0913 0.0913 0.3906
Er2 0.9087 0.9087 0.6094
Tm1 0.1560 0.1560 0.9372
Tm2 0.8440 0.8440 0.0628
In1 0.5000 0.5000 0.0000
Ni1 0.2824 0.2824 0.3594
Ni2 0.7176 0.7176 0.6406
Ge1 0.2975 0.2975 0.7329
Ge2 0.4339 0.4339 0.3370
Ge3 0.5661 0.5661 0.6630
Ge4 0.7025 0.7025 0.2671

Results
relative energy among the computed polymorphs: 0.0 kJ per mole of atoms
SG: No. 12


Er2Tm2InNi2Ge4: relaxed, PBE.

a b c (Å): 7.9663 7.9663 6.9939
angles (deg): 107.91 107.91 30.58
Positions (direct):
Er1 0.1559 0.1559 0.4372
Er2 0.8441 0.8441 0.5628
Tm1 0.0913 0.0913 0.8908
Tm2 0.9087 0.9087 0.1092
In1 0.5000 0.5000 0.5000
Ni1 0.2825 0.2825 0.8596
Ni2 0.7175 0.7175 0.1404
Ge1 0.2975 0.2975 0.2327
Ge2 0.4340 0.4340 0.8373
Ge3 0.5660 0.5660 0.1627
Ge4 0.7025 0.7025 0.7673

Results
relative energy among the computed polymorphs: 0.2 kJ per mole of atoms
SG: No. 12


ErGe2Ir: relaxed, PBE.

a b c (Å): 9.4207 9.4207 9.4207
angles (deg): 153.89 123.65 63.12
Positions (direct):
Er1 0.2056 0.2056 0.0000
Er2 0.2334 0.0000 0.2334
Er3 0.7666 0.0000 0.7666
Er4 0.7944 0.7944 0.0000
Ge1 0.0771 0.5771 0.5000
Ge2 0.1468 0.7993 0.3475
Ge3 0.4221 0.4221 0.0000
Ge4 0.4518 0.7993 0.6525
Ge5 0.5482 0.2007 0.3475
Ge6 0.5779 0.5779 0.0000
Ge7 0.8532 0.2007 0.6525
Ge8 0.9229 0.4229 0.5000
Ir1 0.1053 0.3549 0.7503
Ir2 0.3954 0.6451 0.7503
Ir3 0.6046 0.3549 0.2497
Ir4 0.8947 0.6451 0.2497

Results
SG: No. 71
E: -6.453 eV per atom


Er6GeIr2: relaxed, PBE.

a b c (Å): 7.4914 7.4914 4.4824
angles (deg): 90.00 90.00 120.00
Positions (direct):
Er1 0.0000 0.4132 0.0000
Er2 0.0000 0.7360 0.5000
Er3 0.2640 0.2640 0.5000
Er4 0.4132 0.0000 0.0000
Er5 0.5868 0.5868 0.0000
Er6 0.7360 0.0000 0.5000
Ge1 0.0000 0.0000 0.0000
Ir1 0.3333 0.6667 0.5000
Ir2 0.6667 0.3333 0.5000

Results
SG: No. 189
E: -6.141 eV per atom


Er5Ge10Ir4: relaxed, PBE.

a b c (Å): 12.9950 12.9950 4.3024
angles (deg): 90.00 90.00 90.00
Positions (direct):
Er1 0.0000 0.0000 0.0000
Er2 0.1151 0.3849 0.5000
Er3 0.1735 0.6735 0.5000
Er4 0.3265 0.1735 0.5000
Er5 0.3849 0.8849 0.5000
Er6 0.5000 0.5000 0.0000
Er7 0.6151 0.1151 0.5000
Er8 0.6735 0.8265 0.5000
Er9 0.8265 0.3265 0.5000
Er10 0.8849 0.6151 0.5000
Ge1 0.0080 0.8449 0.5000
Ge2 0.0670 0.5670 0.0000
Ge3 0.1551 0.0080 0.5000
Ge4 0.1637 0.2002 0.0000
Ge5 0.2002 0.8363 0.0000
Ge6 0.2998 0.3363 0.0000
Ge7 0.3363 0.7002 0.0000
Ge8 0.3449 0.5080 0.5000
Ge9 0.4330 0.0670 0.0000
Ge10 0.4920 0.3449 0.5000
Ge11 0.5080 0.6551 0.5000
Ge12 0.5670 0.9330 0.0000
Ge13 0.6551 0.4920 0.5000
Ge14 0.6637 0.2998 0.0000
Ge15 0.7002 0.6637 0.0000
Ge16 0.7998 0.1637 0.0000
Ge17 0.8363 0.7998 0.0000
Ge18 0.8449 0.9920 0.5000
Ge19 0.9330 0.4330 0.0000
Ge20 0.9920 0.1551 0.5000
Ir1 0.0199 0.7536 0.0000
Ir2 0.2464 0.0199 0.0000
Ir3 0.2536 0.5199 0.0000
Ir4 0.4801 0.2536 0.0000
Ir5 0.5199 0.7464 0.0000
Ir6 0.7464 0.4801 0.0000
Ir7 0.7536 0.9801 0.0000
Ir8 0.9801 0.2464 0.0000

Results
SG: No. 127
E: -6.260 eV per atom


LaErGe2Ir: relaxed, PBE.

a b c (Å): 5.8049 5.8049 10.4230
angles (deg): 114.40 114.40 44.44
Positions (direct):
La1 0.1957 0.1957 0.1182
La2 0.8043 0.8043 0.8818
Er1 0.0139 0.0139 0.3356
Er2 0.9861 0.9861 0.6644
Ge1 0.3559 0.3559 0.4513
Ge2 0.4912 0.4912 0.1266
Ge3 0.5088 0.5088 0.8734
Ge4 0.6441 0.6441 0.5487
Ir1 0.2623 0.2623 0.6561
Ir2 0.7377 0.7377 0.3439

Results
relative energy among the computed polymorphs: 0.0 kJ per mole of atoms
SG: No. 12


LaErGe2Ir: relaxed, PBE.

a b c (Å): 5.8193 5.8193 10.7131
angles (deg): 115.36 115.36 43.78
Positions (direct):
La1 0.0055 0.0055 0.3276
La2 0.9945 0.9945 0.6724
Er1 0.1859 0.1859 0.1181
Er2 0.8141 0.8141 0.8819
Ge1 0.3436 0.3436 0.4425
Ge2 0.4786 0.4786 0.1090
Ge3 0.5214 0.5214 0.8910
Ge4 0.6564 0.6564 0.5575
Ir1 0.2759 0.2759 0.6749
Ir2 0.7241 0.7241 0.3251

Results
relative energy among the computed polymorphs: 1.0 kJ per mole of atoms
SG: No. 12


Tb2ErNiGe3Ir2: relaxed, PBE.

a b c (Å): 3.8655 7.0493 7.0493
angles (deg): 119.61 90.00 90.00
Positions (direct):
Tb1 0.0000 0.2016 0.7984
Tb2 0.0000 0.7984 0.2016
Er1 0.0000 0.3973 0.3973
Ni1 0.0000 0.7954 0.7954
Ge1 0.5000 0.0468 0.0468
Ge2 0.5000 0.5494 0.7979
Ge3 0.5000 0.7979 0.5494
Ir1 0.5000 0.1345 0.4630
Ir2 0.5000 0.4630 0.1345

Results
SG: No. 38
E: -6.465 eV per atom


Er2TmNiGe3Ir2: relaxed, PBE.

a b c (Å): 3.8067 7.0403 7.0403
angles (deg): 119.86 90.00 90.00
Positions (direct):
Er1 0.0000 0.2002 0.7998
Er2 0.0000 0.7998 0.2002
Tm1 0.0000 0.4000 0.4000
Ni1 0.0000 0.7989 0.7989
Ge1 0.5000 0.0504 0.0504
Ge2 0.5000 0.5489 0.7995
Ge3 0.5000 0.7995 0.5489
Ir1 0.5000 0.1342 0.4659
Ir2 0.5000 0.4659 0.1342

Results
SG: No. 38
E: -6.460 eV per atom


SmErGe2Ir: relaxed, PBE.

a b c (Å): 5.7064 5.7064 10.3476
angles (deg): 114.68 114.68 44.59
Positions (direct):
Sm1 0.1917 0.1917 0.1182
Sm2 0.8083 0.8083 0.8818
Er1 0.0102 0.0102 0.3325
Er2 0.9898 0.9898 0.6675
Ge1 0.3542 0.3542 0.4480
Ge2 0.4827 0.4827 0.1194
Ge3 0.5173 0.5173 0.8806
Ge4 0.6458 0.6458 0.5520
Ir1 0.2697 0.2697 0.6594
Ir2 0.7303 0.7303 0.3406

Results
relative energy among the computed polymorphs: 0.0 kJ per mole of atoms
SG: No. 12


SmErGe2Ir: relaxed, PBE.

a b c (Å): 5.7362 5.7362 10.4142
angles (deg): 115.04 115.04 44.14
Positions (direct):
Sm1 0.0066 0.0066 0.3276
Sm2 0.9934 0.9934 0.6724
Er1 0.1883 0.1883 0.1187
Er2 0.8117 0.8117 0.8813
Ge1 0.3505 0.3505 0.4454
Ge2 0.4790 0.4790 0.1129
Ge3 0.5210 0.5210 0.8871
Ge4 0.6495 0.6495 0.5546
Ir1 0.2731 0.2731 0.6680
Ir2 0.7269 0.7269 0.3320

Results
relative energy among the computed polymorphs: 0.6 kJ per mole of atoms
SG: No. 12


YErGe2Ir: relaxed, PBE.

a b c (Å): 5.6633 5.6633 10.2871
angles (deg): 114.55 114.55 44.67
Positions (direct):
Y1 0.1897 0.1897 0.1180
Y2 0.8103 0.8103 0.8820
Er1 0.0083 0.0083 0.3298
Er2 0.9917 0.9917 0.6702
Ge1 0.3540 0.3540 0.4472
Ge2 0.4782 0.4782 0.1153
Ge3 0.5218 0.5218 0.8847
Ge4 0.6460 0.6460 0.5528
Ir1 0.2717 0.2717 0.6646
Ir2 0.7283 0.7283 0.3354

Results
relative energy among the computed polymorphs: 0.0 kJ per mole of atoms
SG: No. 12


YErGe2Ir: relaxed, PBE.

a b c (Å): 5.6761 5.6761 10.2887
angles (deg): 114.81 114.81 44.39
Positions (direct):
Y1 0.0078 0.0078 0.3290
Y2 0.9922 0.9922 0.6710
Er1 0.1894 0.1894 0.1186
Er2 0.8106 0.8106 0.8814
Ge1 0.3528 0.3528 0.4464
Ge2 0.4784 0.4784 0.1145
Ge3 0.5216 0.5216 0.8855
Ge4 0.6472 0.6472 0.5536
Ir1 0.2722 0.2722 0.6658
Ir2 0.7278 0.7278 0.3342

Results
relative energy among the computed polymorphs: 0.4 kJ per mole of atoms
SG: No. 12


ErZn2GeIr4: relaxed, PBE.

a b c (Å): 4.3462 4.3462 6.5107
angles (deg): 90.00 90.00 90.00
Positions (direct):
Er1 0.0000 0.0000 0.0000
Zn1 0.0000 0.0000 0.5000
Zn2 0.5000 0.5000 0.0000
Ge1 0.5000 0.5000 0.5000
Ir1 0.0000 0.5000 0.2757
Ir2 0.0000 0.5000 0.7243
Ir3 0.5000 0.0000 0.2757
Ir4 0.5000 0.0000 0.7243

Results
SG: No. 123
E: -6.295 eV per atom


KErGe: relaxed, PBE.

a b c (Å): 5.1227 5.1227 5.1227
angles (deg): 60.00 60.00 60.00
Positions (direct):
K1 0.0000 0.0000 0.0000
Er1 0.5000 0.5000 0.5000
Ge1 0.7500 0.7500 0.7500

Results
relative energy among the computed polymorphs: 0.0 kJ per mole of atoms
SG: No. 216


KErGeS3: relaxed, PBE.

a b c (Å): 8.1920 3.8795 10.6742
angles (deg): 90.00 108.38 90.00
Positions (direct):
K1 0.2279 0.2500 0.2689
K2 0.7721 0.7500 0.7311
Er1 0.3626 0.7500 0.8465
Er2 0.6374 0.2500 0.1535
Ge1 0.1365 0.2500 0.5619
Ge2 0.8635 0.7500 0.4381
S1 0.1115 0.2500 0.7749
S2 0.3377 0.7500 0.5840
S3 0.3973 0.7500 0.1053
S4 0.6027 0.2500 0.8947
S5 0.6623 0.2500 0.4160
S6 0.8885 0.7500 0.2251

Results
SG: No. 11
E: -5.120 eV per atom


KErGeTe3: relaxed, PBE.

a b c (Å): 8.1268 8.1268 11.9525
angles (deg): 90.00 90.00 147.00
Positions (direct):
K1 0.2456 0.7544 0.7500
K2 0.7544 0.2456 0.2500
Er1 0.0000 0.0000 0.0000
Er2 0.0000 0.0000 0.5000
Ge1 0.4645 0.5355 0.2500
Ge2 0.5355 0.4645 0.7500
Te1 0.0710 0.9290 0.2500
Te2 0.3689 0.6311 0.0449
Te3 0.3689 0.6311 0.4551
Te4 0.6311 0.3689 0.5449
Te5 0.6311 0.3689 0.9551
Te6 0.9290 0.0710 0.7500

Results
relative energy among the computed polymorphs: 10.6 kJ per mole of atoms
SG: No. 63


KErGeTe3: relaxed, PBE.

a b c (Å): 9.1693 4.2776 11.6259
angles (deg): 90.00 109.64 90.00
Positions (direct):
K1 0.2293 0.2500 0.2794
K2 0.7707 0.7500 0.7206
Er1 0.3669 0.7500 0.8403
Er2 0.6331 0.2500 0.1597
Ge1 0.1188 0.2500 0.5519
Ge2 0.8812 0.7500 0.4481
Te1 0.1099 0.2500 0.7817
Te2 0.3318 0.7500 0.5657
Te3 0.3838 0.7500 0.1065
Te4 0.6162 0.2500 0.8935
Te5 0.6682 0.2500 0.4343
Te6 0.8901 0.7500 0.2183

Results
relative energy among the computed polymorphs: 0.0 kJ per mole of atoms
SG: No. 11


Which theoretical density belongs to each record? In order, 8.45 10.87 9.24 9.27 11.03 11.13 10.66 9.71 9.60 11.40 11.82 10.31 10.25 9.51 9.54 15.39 4.87 3.87 5.11 5.12 g/cm³.